! PBE ZnGaAsBr2, optimized geometry; values from VASP
&SYSTEM
  ibrav = 0, nat = 5, ntyp = 4
/
ATOMIC_SPECIES
Zn 65.41 Zn.upf
Ga 69.72 Ga.upf
As 74.92 As.upf
Br 79.90 Br.upf
CELL_PARAMETERS angstrom
5.466 0.000 0.000
0.000 5.466 0.000
0.000 0.000 4.885
ATOMIC_POSITIONS angstrom
Zn 0.000 0.000 0.000
Ga 2.733 2.733 2.443
As 0.000 0.000 2.443
Br 0.000 2.733 0.000
Br 2.733 0.000 0.000
! Energy: -2.4351 eV/atom
! Density: 4.208 g/cm³
! Energy relative to the lowest polymorph listed for this composition: 0.000 eV/atom
! Calculated volume: 29.19 A^3/atom
! Magnetization: 1.88 μB per formula unit